(1)
The following is a GGA-PBE calculation of a relaxed Sm2ScNi3Ge4 crystal, from Alexandria.

extended XYZ file:
```
10
Lattice="4.119 0.000 0.000 0.000 4.119 0.000 0.000 0.000 10.642" Properties=species:S:1:pos:R:3 pbc="T T T"
Sm 0.000 2.059 2.451
Sm 2.059 0.000 8.191
Sc 0.000 0.000 5.321
Ni 0.000 2.059 9.401
Ni 2.059 0.000 1.241
Ni 2.059 2.059 5.321
Ge 0.000 0.000 0.000
Ge 0.000 2.059 7.019
Ge 2.059 0.000 3.623
Ge 2.059 2.059 0.000
```

Computed properties:
* DFT formation energy: -7.053 eV/f.u.
* space-group type: P-4m2 (115)
* magnetic moment: 0.00 μB/atom
* electronic total energy: -5.864 eV per atom


(2)
The following is a GGA-PBE calculation of a relaxed AcY2Bi crystal, from Alexandria.

extended XYZ file:
```
4
Lattice="2.056 1.187 10.005 -2.056 1.187 10.005 0.000 -2.374 10.005" Properties=species:S:1:pos:R:3 pbc="T T T"
Ac 0.000 0.000 0.000
Y 0.000 0.000 6.976
Y 0.000 0.000 23.040
Bi 0.000 0.000 15.008
```

Computed properties:
* DFT formation energy: -0.953 eV/f.u.
* distance to the lowest polymorph of the same formula: 0.47 eV per formula unit
* space-group type: R-3m (166)
* magnetic moment: 0.00 μB/atom
* electronic total energy: -5.468 eV per atom


(3)
The following is a GGA-PBE calculation of a relaxed Na2Au2N crystal, from Alexandria.

extended XYZ file:
```
5
Lattice="-1.875 1.875 7.860 1.875 -1.875 7.860 1.875 1.875 -7.860" Properties=species:S:1:pos:R:3 pbc="T T T"
Na 0.000 0.000 1.367
Na 0.000 0.000 14.353
Au 1.875 0.000 3.930
Au 0.000 1.875 3.930
N 0.000 0.000 7.860
```

Computed properties:
* formation energy (no corrections): 0.502 eV/atom
* space-group type: I4/mmm (139)
* magnetic moment: 0.32 μB/atom
* electronic total energy: -3.002 eV per atom


(4)
The following is a GGA-PBE calculation of a relaxed Ba3Zn9Pt2 crystal, from Alexandria.

extended XYZ file:
```
14
Lattice="-2.257 5.495 6.520 2.257 -5.495 6.520 2.257 5.495 -6.520" Properties=species:S:1:pos:R:3 pbc="T T T"
Ba 0.000 0.000 0.000
Ba 0.000 0.000 4.050
Ba 0.000 0.000 8.990
Zn 2.257 2.123 -2.502
Zn 2.257 -2.319 5.171
Zn 2.257 2.123 2.502
Zn 0.000 3.176 1.350
Zn 0.000 5.495 0.000
Zn 2.257 2.319 5.171
Zn 0.000 3.371 4.018
Zn 0.000 7.814 1.350
Zn 0.000 3.371 9.023
Pt 2.257 2.737 0.000
Pt 0.000 2.758 6.520
```

Computed properties:
* DFT formation energy: -4.492 eV/f.u.
* space-group type: Immm (71)
* magnetic moment: 0.00 μB/atom
* electronic total energy: -2.415 eV per atom


(5)
The following is a GGA-PBE calculation of a relaxed Pm2P3Rh4Au crystal, from Alexandria.

extended XYZ file:
```
10
Lattice="4.031 0.000 0.000 0.000 4.031 0.000 0.000 0.000 10.710" Properties=species:S:1:pos:R:3 pbc="T T T"
Pm 0.000 2.015 2.656
Pm 2.015 0.000 8.053
P 0.000 0.000 0.000
P 0.000 2.015 6.690
P 2.015 0.000 4.020
Rh 0.000 0.000 5.355
Rh 0.000 2.015 8.922
Rh 2.015 0.000 1.787
Rh 2.015 2.015 5.355
Au 2.015 2.015 0.000
```

Computed properties:
* DFT formation energy: -8.954 eV/f.u.
* space-group type: P-4m2 (115)
* magnetic moment: 0.00 μB/atom
* electronic total energy: -6.737 eV per atom


(6)
The following is a GGA-PBE calculation of a relaxed LiTa2Se crystal, from Alexandria.

extended XYZ file:
```
4
Lattice="3.293 0.000 0.000 0.000 1.818 6.065 0.000 -1.818 6.065" Properties=species:S:1:pos:R:3 pbc="T T T"
Li 0.000 0.000 0.000
Ta 0.000 0.000 3.195
Ta 1.647 0.000 7.892
Se 1.647 0.000 5.300
```

Computed properties:
* formation energy (no corrections): -0.186 eV/atom
* space-group type: Amm2 (38)
* magnetic moment: 0.00 μB/atom
* electronic total energy: -7.462 eV per atom